(1)
The following is a DFT calculation (GGA-PBE) of Sr3Li4Mg after structural relaxation.

Unit cell a=4.0083 b=4.0083 c=16.5089 alpha=90.00 beta=90.00 gamma=90.00
Sites, in units of the cell vectors:
Sr 0.5000 0.5000 0.7708
Sr 0.5000 0.5000 0.5000
Sr 0.5000 0.5000 0.2292
Li 0.0000 0.0000 0.6358
Li 0.0000 0.0000 0.3642
Li 0.0000 0.0000 0.0879
Li 0.0000 0.0000 0.9121
Mg 0.5000 0.5000 0.0000

Summary:
DFT formation energy in eV/atom: 0.0341
Final energy in eV/atom: -1.7528
Crystal system: tetragonal
Magnetic moment in μB per formula unit: 0.000
Theoretical density in g cm⁻³: 2.0
Fermi-level density of states in states/eV per cell: 5.757

(2)
The following is a DFT calculation (GGA-PBE) of SrLi6Mg12 after structural relaxation.

Unit cell a=7.9987 b=7.9987 c=7.9987 alpha=104.66 beta=104.66 gamma=104.66
Sites, in units of the cell vectors:
Li 0.2935 0.7418 0.7418
Li 0.7418 0.2935 0.7418
Li 0.2582 0.7065 0.2582
Li 0.7065 0.2582 0.2582
Li 0.2582 0.2582 0.7065
Li 0.7418 0.7418 0.2935
Mg 0.5744 0.8357 0.5744
Mg 0.8357 0.5744 0.5744
Mg 0.5000 0.1201 0.8799
Mg 0.4256 0.4256 0.1643
Mg 0.8799 0.5000 0.1201
Mg 0.1201 0.5000 0.8799
Mg 0.8799 0.1201 0.5000
Mg 0.4256 0.1643 0.4256
Mg 0.1201 0.8799 0.5000
Mg 0.5744 0.5744 0.8357
Mg 0.1643 0.4256 0.4256
Mg 0.5000 0.8799 0.1201
Sr 0.0000 0.0000 0.0000

Summary:
DFT formation energy in eV/atom: 0.0672
Final energy in eV/atom: -1.6328
Crystal system: trigonal
Magnetic moment in μB per formula unit: 0.000
Theoretical density in g cm⁻³: 1.6
Fermi-level density of states in states/eV per cell: 10.284

(3)
The following is a DFT calculation (GGA-PBE) of SrLi9Mg2 after structural relaxation.

Unit cell a=5.8029 b=9.7150 c=9.7150 alpha=90.00 beta=90.00 gamma=90.00
Sites, in units of the cell vectors:
Mg 0.0000 0.3839 0.8839
Mg 0.0000 0.6161 0.1161
Mg 0.0000 0.8839 0.6161
Mg 0.0000 0.1161 0.3839
Li 0.5000 0.2128 0.9312
Li 0.7660 0.8236 0.3236
Li 0.7660 0.3236 0.1764
Li 0.5000 0.5000 0.0000
Li 0.7660 0.1764 0.6764
Li 0.2340 0.6764 0.8236
Li 0.5000 0.7872 0.0688
Li 0.5000 0.9312 0.7872
Li 0.5000 0.4312 0.7128
Li 0.7660 0.6764 0.8236
Li 0.2340 0.1764 0.6764
Li 0.5000 0.2872 0.4312
Li 0.5000 0.7128 0.5688
Li 0.5000 0.5688 0.2872
Li 0.5000 0.0000 0.5000
Li 0.2340 0.3236 0.1764
Li 0.5000 0.0688 0.2128
Li 0.2340 0.8236 0.3236
Sr 0.0000 0.0000 0.0000
Sr 0.0000 0.5000 0.5000

Summary:
DFT formation energy in eV/atom: -0.0157
Final energy in eV/atom: -1.8570
Crystal system: tetragonal
Magnetic moment in μB per formula unit: 0.000
Theoretical density in g cm⁻³: 1.2
Fermi-level density of states in states/eV per cell: 13.691

(4)
The following is a DFT calculation (GGA-PBE) of Sr2Li2Mg15 after structural relaxation.

Unit cell a=7.9526 b=7.9526 c=7.9526 alpha=83.02 beta=83.02 gamma=83.02
Sites, in units of the cell vectors:
Mg 0.0000 0.7021 0.2979
Mg 0.3463 0.8459 0.3463
Mg 0.8459 0.3463 0.3463
Mg 0.6537 0.6537 0.1541
Mg 0.7021 0.0000 0.2979
Mg 0.2979 0.7021 0.0000
Mg 0.5000 0.0000 0.0000
Mg 0.3463 0.3463 0.8459
Mg 0.6537 0.1541 0.6537
Mg 0.0000 0.0000 0.5000
Mg 0.7021 0.2979 0.0000
Mg 0.0000 0.2979 0.7021
Mg 0.0000 0.5000 0.0000
Mg 0.2979 0.0000 0.7021
Mg 0.1541 0.6537 0.6537
Sr 0.6619 0.6619 0.6619
Sr 0.3381 0.3381 0.3381
Li 0.0957 0.0957 0.0957
Li 0.9043 0.9043 0.9043

Summary:
DFT formation energy in eV/atom: -0.0455
Final energy in eV/atom: -1.6829
Crystal system: trigonal
Magnetic moment in μB per formula unit: 0.000
Theoretical density in g cm⁻³: 1.9
Fermi-level density of states in states/eV per cell: 10.364

(5)
The following is a DFT calculation (GGA-PBE) of SrLi2Mg after structural relaxation.

Unit cell a=5.5385 b=5.5385 c=5.5385 alpha=60.00 beta=60.00 gamma=60.00
Sites, in units of the cell vectors:
Li 0.0000 0.0000 0.0000
Li 0.2500 0.2500 0.2500
Sr 0.7500 0.7500 0.7500
Mg 0.5000 0.5000 0.5000

Summary:
DFT formation energy in eV/atom: 0.0692
Final energy in eV/atom: -1.7068
Crystal system: cubic
Magnetic moment in μB per formula unit: 0.000
Theoretical density in g cm⁻³: 1.7
Fermi-level density of states in states/eV per cell: 2.688

(6)
The following is a DFT calculation (GGA-PBE) of Sr3Li4Mg2 after structural relaxation.

Unit cell a=5.1282 b=6.5503 c=9.7634 alpha=102.59 beta=90.00 gamma=113.04
Sites, in units of the cell vectors:
Li 0.7303 0.4606 0.0748
Li 0.2697 0.5394 0.9252
Li 0.0853 0.1706 0.6439
Li 0.9147 0.8294 0.3561
Mg 0.3040 0.6079 0.2322
Mg 0.6960 0.3921 0.7678
Sr 0.6234 0.2468 0.3771
Sr 0.0000 0.0000 0.0000
Sr 0.3766 0.7532 0.6229

Summary:
DFT formation energy in eV/atom: -0.0025
Final energy in eV/atom: -1.7681
Crystal system: monoclinic
Magnetic moment in μB per formula unit: 0.000
Theoretical density in g cm⁻³: 1.9
Fermi-level density of states in states/eV per cell: 6.357

Question: What is the theoretical density in the first record?
Answer: 2.0 g cm⁻³

Question: Look up the theoretical density of the fourth one.
Answer: 1.9 g cm⁻³

Repeat the sixth record exactly.
The following is a DFT calculation (GGA-PBE) of Sr3Li4Mg2 after structural relaxation.

Unit cell a=5.1282 b=6.5503 c=9.7634 alpha=102.59 beta=90.00 gamma=113.04
Sites, in units of the cell vectors:
Li 0.7303 0.4606 0.0748
Li 0.2697 0.5394 0.9252
Li 0.0853 0.1706 0.6439
Li 0.9147 0.8294 0.3561
Mg 0.3040 0.6079 0.2322
Mg 0.6960 0.3921 0.7678
Sr 0.6234 0.2468 0.3771
Sr 0.0000 0.0000 0.0000
Sr 0.3766 0.7532 0.6229

Summary:
DFT formation energy in eV/atom: -0.0025
Final energy in eV/atom: -1.7681
Crystal system: monoclinic
Magnetic moment in μB per formula unit: 0.000
Theoretical density in g cm⁻³: 1.9
Fermi-level density of states in states/eV per cell: 6.357